DFT (PBE-GGA) results for a relaxed structure of GaPW3.

Cell: 4.4533 4.4533 4.4533 Å, 90.00 90.00 90.00°
Positions (direct):
P 0.0000 0.0000 0.0000
Ga 0.5000 0.5000 0.5000
W 0.0000 0.5000 0.0000
W 0.0000 0.0000 0.5000
W 0.5000 0.0000 0.0000

Summary:
As for the space-group type: Pm-3m. The total magnetization comes out at 0.000 μB per atom.



DFT (PBE-GGA) results for a relaxed structure of Ga2PW4.

Cell: 4.3579 4.3579 7.3420 Å, 72.74 72.74 90.00°
Last column: magnetic moment on the atom in μB.
Positions (direct):
P 0.0000 0.0000 0.0000  0.00
Ga 0.6369 0.6369 0.7263  -0.01
Ga 0.3631 0.3631 0.2737  -0.01
W 0.8292 0.8292 0.3416  0.32
W 0.1708 0.1708 0.6584  0.32
W 0.0000 0.5000 0.0000  0.01
W 0.5000 0.0000 0.0000  0.01

Summary:
As for the space-group type: I4/mmm. The total magnetization comes out at 0.117 μB per atom.



DFT (PBE-GGA) results for a relaxed structure of GaP2W.

Cell: 5.5889 5.5889 6.6824 Å, 65.28 65.28 90.00°
Last column: magnetic moment on the atom in μB.
Positions (direct):
P 0.6378 0.1250 0.2500  -0.01
P 0.1122 0.6250 0.2500  -0.01
P 0.3750 0.3622 0.7500  -0.02
P 0.8750 0.8878 0.7500  -0.02
Ga 0.5000 0.5000 0.0000  0.04
Ga 0.2500 0.7500 0.5000  0.04
W 0.0000 0.0000 0.0000  0.60
W 0.7500 0.2500 0.5000  0.61

Summary:
As for the space-group type: I-42d. The total magnetization comes out at 0.207 μB per atom.



| no. | calculated total energy (eV/atom) |
| --- | --- |
| 1 | -8.55 |
| 2 | -8.04 |
| 3 | -6.50 |